Material: DyHo2UP4
Method: DFT, PBE
State: relaxed

**DFT formation energy**: -1.453 eV per atom
**Volume**: 22.1 Å³/atom
**Magnetic moment**: 0.258 μB/atom

abc: 6.8778 3.9634 6.8813
angles: 90.00 109.24 90.00
Fractional coordinates of all 8 atoms:
Dy  0.0000  0.0000  0.0000
Ho  0.5000  0.0000  0.5000
Ho  0.5000  0.5000  0.0000
U  0.0000  0.5000  0.5000
P  0.2466  0.0000  0.7457
P  0.2470  0.5000  0.2547
P  0.7534  0.0000  0.2543
P  0.7530  0.5000  0.7453

---

Material: Na2ReRuSe
Method: DFT, PBE
State: relaxed

**Raw formation energy**: 1.403 eV/atom
**Volume**: 27.8 Å³/atom
**Magnetic moment**: 1.009 μB/atom

abc: 5.5436 5.5436 4.5267
angles: 90.00 90.00 90.00
Fractional coordinates of all 5 atoms:
Na  0.0000  0.5000  0.0000
Na  0.5000  0.0000  0.0000
Re  0.0000  0.0000  0.5000
Ru  0.5000  0.5000  0.0000
Se  0.5000  0.5000  0.5000

---

Material: Dy13Sc3
Method: DFT, PBE
State: relaxed

**DFT formation energy**: 0.022 eV per atom
**Volume**: 30.5 Å³/atom
**Magnetic moment**: 0.000 μB/atom

abc: 7.1424 8.2884 8.2884
angles: 83.90 90.00 90.00
Fractional coordinates of all 16 atoms:
Dy  0.0000  0.0000  0.0000
Dy  0.0000  0.4287  0.9143
Dy  0.0000  0.5036  0.5036
Dy  0.0000  0.9143  0.4287
Dy  0.2506  0.2497  0.2497
Dy  0.2524  0.1645  0.6736
Dy  0.2524  0.6736  0.1645
Dy  0.5000  0.4221  0.9160
Dy  0.5000  0.5042  0.5042
Dy  0.5000  0.9160  0.4221
Dy  0.7476  0.1645  0.6736
Dy  0.7476  0.6736  0.1645
Dy  0.7494  0.2497  0.2497
Sc  0.2531  0.7551  0.7551
Sc  0.5000  0.9975  0.9975
Sc  0.7469  0.7551  0.7551

---

Material: TlSnSF2
Method: DFT, PBE
State: relaxed

**Raw formation energy**: -1.455 eV/atom
**Volume**: 21.5 Å³/atom
**Magnetic moment**: 0.000 μB/atom

abc: 4.5687 4.5687 5.1545
angles: 90.00 90.00 90.00
Fractional coordinates of all 5 atoms:
Tl  0.0000  0.0000  0.0000
Sn  0.5000  0.5000  0.5000
S  0.5000  0.5000  0.0000
F  0.0000  0.5000  0.5000
F  0.5000  0.0000  0.5000

---

Material: Tm6SnPt
Method: DFT, PBE
State: relaxed

**DFT formation energy**: -0.270 eV per atom
**Volume**: 31.8 Å³/atom
**Magnetic moment**: 0.000 μB/atom

abc: 6.7855 6.7930 7.4812
angles: 90.11 116.87 119.92
Fractional coordinates of all 8 atoms:
Tm  0.0333  0.0747  0.2545
Tm  0.2959  0.7211  0.2542
Tm  0.3191  0.5407  0.7457
Tm  0.6809  0.4593  0.2543
Tm  0.7041  0.2789  0.7458
Tm  0.9667  0.9253  0.7455
Sn  0.5000  0.0000  0.0000
Pt  0.5000  0.5000  0.5000

---

Material: Pr8GaPt3Br4
Method: DFT, PBE
State: relaxed

**Raw formation energy**: -1.123 eV/atom
**Volume**: 30.5 Å³/atom
**Magnetic moment**: 0.000 μB/atom

abc: 9.1476 9.1476 9.1476
angles: 55.80 55.80 55.80
Fractional coordinates of all 16 atoms:
Pr  0.2280  0.7390  0.7390
Pr  0.2342  0.2342  0.2342
Pr  0.2610  0.2610  0.7720
Pr  0.2610  0.7720  0.2610
Pr  0.7390  0.2280  0.7390
Pr  0.7390  0.7390  0.2280
Pr  0.7658  0.7658  0.7658
Pr  0.7720  0.2610  0.2610
Ga  0.5000  0.5000  0.5000
Pt  0.0000  0.0000  0.5000
Pt  0.0000  0.5000  0.0000
Pt  0.5000  0.0000  0.0000
Br  0.0000  0.0000  0.0000
Br  0.0000  0.5000  0.5000
Br  0.5000  0.0000  0.5000
Br  0.5000  0.5000  0.0000

---

Material: LiMgSc2
Method: DFT, PBE
State: relaxed

**DFT formation energy**: 0.108 eV per atom
**Volume**: 22.8 Å³/atom
**Magnetic moment**: 0.000 μB/atom

abc: 3.5363 4.9708 5.1824
angles: 90.00 90.00 90.00
Fractional coordinates of all 4 atoms:
Li  0.0000  0.0000  0.0000
Mg  0.5000  0.5000  0.0000
Sc  0.0000  0.5000  0.5000
Sc  0.5000  0.0000  0.5000

---

Material: FePb2Br
Method: DFT, PBE
State: relaxed

**Raw formation energy**: 0.222 eV/atom
**Volume**: 26.6 Å³/atom
**Magnetic moment**: 0.672 μB/atom

abc: 6.5241 6.5241 6.5241
angles: 150.61 128.00 60.86
Fractional coordinates of all 4 atoms:
Fe  0.0000  0.0000  0.0000
Pb  0.5019  0.5019  0.0000
Pb  0.7972  0.2972  0.5000
Br  0.1684  0.6684  0.5000

---

Material: Ce3PuRh2
Method: DFT, PBE
State: relaxed

**DFT formation energy**: -0.330 eV per atom
**Volume**: 20.3 Å³/atom
**Magnetic moment**: 0.933 μB/atom

abc: 5.7754 5.7754 7.5696
angles: 98.90 98.90 97.30
Fractional coordinates of all 12 atoms:
Ce  0.1160  0.8840  0.7500
Ce  0.1665  0.3405  0.9730
Ce  0.3405  0.1665  0.4730
Ce  0.6595  0.8335  0.5270
Ce  0.8335  0.6595  0.0270
Ce  0.8840  0.1160  0.2500
Pu  0.4481  0.5519  0.7500
Pu  0.5519  0.4481  0.2500
Rh  0.1170  0.6336  0.3765
Rh  0.3664  0.8830  0.1235
Rh  0.6336  0.1170  0.8765
Rh  0.8830  0.3664  0.6235

---

Material: Cs6CdO
Method: DFT, PBE
State: relaxed

**Raw formation energy**: -0.354 eV/atom
**Volume**: 66.8 Å³/atom
**Magnetic moment**: 0.000 μB/atom

abc: 9.2629 9.2629 16.4324
angles: 105.71 105.71 52.72
Fractional coordinates of all 16 atoms:
Cs  0.0275  0.1601  0.3886
Cs  0.1601  0.0275  0.8886
Cs  0.1698  0.3160  0.6508
Cs  0.3160  0.1698  0.1508
Cs  0.3574  0.3654  0.4689
Cs  0.3654  0.3574  0.9689
Cs  0.6346  0.6426  0.0311
Cs  0.6426  0.6346  0.5311
Cs  0.6840  0.8302  0.8492
Cs  0.8302  0.6840  0.3492
Cs  0.8399  0.9725  0.1114
Cs  0.9725  0.8399  0.6114
Cd  0.4393  0.5607  0.2500
Cd  0.5607  0.4393  0.7500
O  0.0000  0.5000  0.5000
O  0.5000  0.0000  0.0000

---

Material: CaMg2Ni
Method: DFT, PBE
State: relaxed

**DFT formation energy**: 0.050 eV per atom
**Volume**: 21.1 Å³/atom
**Magnetic moment**: 0.000 μB/atom

abc: 4.9111 4.9111 4.9111
angles: 119.64 119.64 90.62
Fractional coordinates of all 4 atoms:
Ca  0.0000  0.0000  0.0000
Mg  0.5000  0.5000  0.0000
Mg  0.7500  0.2500  0.5000
Ni  0.2500  0.7500  0.5000

---

Material: K2CaMn
Method: DFT, PBE
State: relaxed

**DFT formation energy**: 0.650 eV per atom
**Volume**: 41.6 Å³/atom
**Magnetic moment**: 1.099 μB/atom

abc: 6.1734 6.1734 6.1734
angles: 60.00 60.00 60.00
Fractional coordinates of all 4 atoms:
K  0.0000  0.0000  0.0000
K  0.2500  0.2500  0.2500
Ca  0.5000  0.5000  0.5000
Mn  0.7500  0.7500  0.7500

---

Material: Pm2Ge2I
Method: DFT, PBE
State: relaxed

**Raw formation energy**: -0.925 eV/atom
**Volume**: 28.9 Å³/atom
**Magnetic moment**: 0.000 μB/atom

abc: 9.8176 9.8176 8.2609
angles: 114.82 114.82 23.69
Fractional coordinates of all 10 atoms:
Pm  0.1531  0.1531  0.1533
Pm  0.1531  0.1531  0.6533
Pm  0.8469  0.8469  0.3467
Pm  0.8469  0.8469  0.8467
Ge  0.2978  0.2979  0.0477
Ge  0.2979  0.2978  0.5477
Ge  0.7021  0.7022  0.4523
Ge  0.7022  0.7021  0.9523
I  0.0058  0.9942  0.7500
I  0.9942  0.0058  0.2500

---

Material: AgAuI5
Method: DFT, PBE
State: relaxed

**Raw formation energy**: -0.062 eV/atom
**Volume**: 46.7 Å³/atom
**Magnetic moment**: 0.000 μB/atom

abc: 7.7007 7.7007 11.3800
angles: 91.52 91.52 103.89
Fractional coordinates of all 14 atoms:
Ag  0.2331  0.7669  0.7500
Ag  0.7669  0.2331  0.2500
Au  0.5000  0.5000  0.0000
Au  0.5000  0.5000  0.5000
I  0.1458  0.1525  0.2494
I  0.1525  0.1458  0.7494
I  0.2797  0.7167  0.5138
I  0.2833  0.7203  0.9862
I  0.4776  0.5224  0.2500
I  0.5224  0.4776  0.7500
I  0.7167  0.2797  0.0138
I  0.7203  0.2833  0.4862
I  0.8475  0.8542  0.2506
I  0.8542  0.8475  0.7506

---

Material: PmCrAs2
Method: DFT, PBE
State: relaxed

**DFT formation energy**: -0.357 eV per atom
**Volume**: 20.9 Å³/atom
**Magnetic moment**: 0.867 μB/atom

abc: 4.9048 4.9048 4.9048
angles: 60.00 60.00 60.00
Fractional coordinates of all 4 atoms:
Pm  0.0000  0.0000  0.0000
Cr  0.5000  0.5000  0.5000
As  0.2500  0.2500  0.2500
As  0.7500  0.7500  0.7500

---

Material: Pa2Zn16Fe
Method: DFT, PBE
State: relaxed

**DFT formation energy**: -0.102 eV per atom
**Volume**: 16.0 Å³/atom
**Magnetic moment**: 0.041 μB/atom

abc: 6.7601 6.7601 6.7601
angles: 84.04 84.04 84.04
Fractional coordinates of all 19 atoms:
Pa  0.0000  0.0000  0.0000
Pa  0.3433  0.3433  0.3433
Zn  0.0363  0.0363  0.5228
Zn  0.0363  0.5228  0.0363
Zn  0.1903  0.6820  0.6820
Zn  0.3277  0.3277  0.8483
Zn  0.3277  0.8483  0.3277
Zn  0.3968  0.6854  0.9780
Zn  0.3968  0.9780  0.6854
Zn  0.5228  0.0363  0.0363
Zn  0.5884  0.5884  0.5884
Zn  0.6820  0.1902  0.6820
Zn  0.6820  0.6820  0.1903
Zn  0.6854  0.3968  0.9780
Zn  0.6854  0.9780  0.3968
Zn  0.8483  0.3277  0.3277
Zn  0.9780  0.3968  0.6854
Zn  0.9780  0.6854  0.3968
Fe  0.8328  0.8328  0.8328

---

Material: ReSb2TeSe
Method: DFT, PBE
State: relaxed

**Raw formation energy**: 1.579 eV/atom
**Volume**: 30.5 Å³/atom
**Magnetic moment**: 0.616 μB/atom

abc: 5.3757 5.3757 5.2790
angles: 90.00 90.00 90.00
Fractional coordinates of all 5 atoms:
Re  0.0000  0.0000  0.0000
Sb  0.0000  0.5000  0.5000
Sb  0.5000  0.0000  0.5000
Te  0.5000  0.5000  0.0000
Se  0.5000  0.5000  0.5000

---

Material: MgTeCl2
Method: DFT, PBE
State: relaxed

**Raw formation energy**: -0.260 eV/atom
**Volume**: 23.7 Å³/atom
**Magnetic moment**: 0.000 μB/atom

abc: 5.4329 5.4329 3.3919
angles: 90.00 90.00 109.05
Fractional coordinates of all 4 atoms:
Mg  0.0000  0.0000  0.0000
Te  0.5000  0.5000  0.0000
Cl  0.0000  0.5000  0.5000
Cl  0.5000  0.0000  0.5000

---

Material: Rb2Bi2I
Method: DFT, PBE
State: relaxed

**Raw formation energy**: -0.325 eV/atom
**Volume**: 54.6 Å³/atom
**Magnetic moment**: 0.000 μB/atom

abc: 7.3403 7.3403 7.3403
angles: 121.55 121.55 87.34
Fractional coordinates of all 5 atoms:
Rb  0.2500  0.7500  0.5000
Rb  0.7500  0.2500  0.5000
Bi  0.1297  0.1297  0.0000
Bi  0.8703  0.8703  0.0000
I  0.5000  0.5000  0.0000

---

Material: Co2HW
Method: DFT, PBE
State: relaxed

**Total energy**: -7.383 eV per atom
**Volume**: 10.1 Å³/atom
**Magnetic moment**: 0.000 μB/atom

abc: 4.8127 4.8127 4.8127
angles: 117.95 117.95 93.58
Fractional coordinates of all 8 atoms:
Co  0.3750  0.0323  0.1573
Co  0.7823  0.6250  0.6573
Co  0.8750  0.2177  0.8427
Co  0.9677  0.1250  0.3427
H  0.0000  0.0000  0.0000
H  0.7500  0.2500  0.5000
W  0.2500  0.7500  0.5000
W  0.5000  0.5000  0.0000

---

Material: Mg2AsPb
Method: DFT, PBE
State: relaxed

**DFT formation energy**: -0.093 eV per atom
**Volume**: 22.9 Å³/atom
**Magnetic moment**: 0.000 μB/atom

abc: 5.3325 5.3325 5.3325
angles: 127.97 127.97 76.68
Fractional coordinates of all 4 atoms:
Mg  0.2500  0.7500  0.5000
Mg  0.7500  0.2500  0.5000
As  0.0000  0.0000  0.0000
Pb  0.5000  0.5000  0.0000

---

Material: In2CuIr
Method: DFT, PBE
State: relaxed

**DFT formation energy**: 0.053 eV per atom
**Volume**: 17.3 Å³/atom
**Magnetic moment**: 0.000 μB/atom

abc: 4.3857 4.3857 3.5940
angles: 90.00 90.00 90.00
Fractional coordinates of all 4 atoms:
In  0.0000  0.5000  0.0000
In  0.5000  0.0000  0.0000
Cu  0.0000  0.0000  0.5000
Ir  0.5000  0.5000  0.5000

---

Material: CdTc2Ru
Method: DFT, PBE
State: relaxed

**DFT formation energy**: 0.247 eV per atom
**Volume**: 15.7 Å³/atom
**Magnetic moment**: 0.000 μB/atom

abc: 9.3870 9.3870 9.3870
angles: 17.13 17.13 17.13
Fractional coordinates of all 4 atoms:
Cd  0.0000  0.0000  0.0000
Tc  0.2428  0.2428  0.2428
Tc  0.7572  0.7572  0.7572
Ru  0.5000  0.5000  0.5000

---

Material: InCo2Tc
Method: DFT, PBE
State: relaxed

**DFT formation energy**: 0.181 eV per atom
**Volume**: 13.9 Å³/atom
**Magnetic moment**: 0.000 μB/atom

abc: 2.7752 3.5415 5.6657
angles: 90.00 90.00 90.00
Fractional coordinates of all 4 atoms:
In  0.0000  0.0000  0.0000
Co  0.5000  0.5000  0.2843
Co  0.5000  0.5000  0.7157
Tc  0.0000  0.0000  0.5000

---

Material: SmSc2In
Method: DFT, PBE
State: relaxed

**DFT formation energy**: -0.117 eV per atom
**Volume**: 25.2 Å³/atom
**Magnetic moment**: 0.510 μB/atom

abc: 5.2213 5.2213 5.2213
angles: 60.00 60.00 60.00
Fractional coordinates of all 4 atoms:
Sm  0.0000  0.0000  0.0000
Sc  0.2500  0.2500  0.2500
Sc  0.7500  0.7500  0.7500
In  0.5000  0.5000  0.5000